Entry 1:
The following is a PBE calculation of crystalline NaPtBr at its relaxed geometry, from the Alexandria database.

a = 5.623 Å, b = 5.623 Å, c = 8.674 Å
α = 119.49°, β = 119.49°, γ = 39.22°
Element x y z (fractional)
Na1 0.028 0.028 0.238
Na2 0.972 0.972 0.762
Pt1 0.260 0.260 0.107
Pt2 0.740 0.740 0.893
Br1 0.220 0.220 0.673
Br2 0.780 0.780 0.327

total DFT energy (no corrections): -21.605 eV/cell
space group: C2/m, No. 12
energy relative to the lowest polymorph listed for this composition: 0 meV/atom



Entry 2:
The following is a PBE calculation of crystalline NaPtBr at its relaxed geometry, from the Alexandria database.

a = 5.187 Å, b = 5.187 Å, c = 8.621 Å
α = 92.14°, β = 92.14°, γ = 43.94°
Element x y z (fractional)
Na1 0.000 0.000 0.000
Na2 0.165 0.165 0.588
Pt1 0.604 0.604 0.322
Pt2 0.927 0.927 0.331
Br1 0.265 0.265 0.236
Br2 0.678 0.678 0.840

total DFT energy (no corrections): -21.148 eV/cell
space group: Cm, No. 8
energy relative to the lowest polymorph listed for this composition: 76 meV/atom



Number 1: raw formation energy -0.59 eV/atom, Fermi-level density of states 0.00 states/eV/f.u.. Number 2: raw formation energy -0.51 eV/atom, Fermi-level density of states 0.40 states/eV/f.u..